No. 1
The following is a PBE-GGA calculation of an optimized crystal structure of Tm2SiPd2, from the Alexandria database.

Space group: Pnnm (58)
Total DFT energy (no corrections) (eV/atom): -5.75
Volume (Å³ per atom): 21.1
Uncorrected formation energy (eV per formula unit): -4.02
D(E_F) (states/eV/f.u.): 2.1

a = 4.120 Å, b = 7.457 Å, c = 13.713 Å
α = 90.00°, β = 90.00°, γ = 90.00°
Sites, in units of the cell vectors:
Pd 0.000 0.180 0.513
Pd 0.500 0.680 0.987
Tm 0.000 0.530 0.126
Pd 0.000 0.167 0.223
Tm 0.000 0.470 0.874
Tm 0.500 0.953 0.131
Si 0.500 0.654 0.471
Tm 0.500 0.047 0.869
Tm 0.000 0.453 0.369
Pd 0.500 0.667 0.277
Pd 0.000 0.833 0.777
Pd 0.500 0.333 0.723
Si 0.000 0.846 0.971
Pd 0.500 0.320 0.013
Pd 0.000 0.820 0.487
Si 0.000 0.154 0.029
Tm 0.500 0.970 0.626
Si 0.500 0.346 0.529
Tm 0.500 0.030 0.374
Tm 0.000 0.547 0.631


No. 2
The following is a PBE-GGA calculation of an optimized crystal structure of TmSi2Pd3, from the Alexandria database.

Space group: C2/m (12)
Total DFT energy (no corrections) (eV/atom): -6.02
Volume (Å³ per atom): 16.7
Uncorrected formation energy (eV per formula unit): -5.23
D(E_F) (states/eV/f.u.): 3.1

a = 3.955 Å, b = 8.390 Å, c = 9.832 Å
α = 108.00°, β = 90.00°, γ = 103.63°
Sites, in units of the cell vectors:
Pd 0.680 0.359 0.960
Si 0.199 0.398 0.131
Pd 0.379 0.759 0.805
Si 0.636 0.272 0.450
Tm 0.154 0.307 0.693
Pd 0.621 0.241 0.195
Pd 0.500 0.000 0.500
Si 0.801 0.602 0.869
Si 0.539 0.078 0.781
Pd 0.320 0.641 0.040
Si 0.364 0.728 0.550
Tm 0.846 0.693 0.307
Pd 0.221 0.442 0.391
Pd 0.040 0.079 0.328
Tm 0.000 0.000 0.000
Pd 0.779 0.558 0.609
Pd 0.960 0.921 0.672
Si 0.461 0.922 0.219


No. 3
The following is a PBE-GGA calculation of an optimized crystal structure of Tm2Si3Pd9, from the Alexandria database.

Space group: C2/c (15)
Total DFT energy (no corrections) (eV/atom): -5.98
Volume (Å³ per atom): 16.1
Uncorrected formation energy (eV per formula unit): -11.78
D(E_F) (states/eV/f.u.): 7.5

a = 7.621 Å, b = 7.621 Å, c = 9.981 Å
α = 89.74°, β = 112.74°, γ = 119.97°
Sites, in units of the cell vectors:
Si 0.500 0.000 0.000
Pd 0.112 0.862 0.250
Si 0.826 0.654 0.001
Tm 0.666 0.756 0.250
Tm 0.994 0.584 0.750
Pd 0.793 0.487 0.423
Pd 0.463 0.805 0.449
Pd 0.564 0.371 0.077
Pd 0.327 0.299 0.247
Pd 0.448 0.921 0.747
Pd 0.215 0.681 0.075
Si 0.847 0.175 0.501
Pd 0.537 0.195 0.551
Pd 0.888 0.138 0.750
Pd 0.144 0.986 0.949
Pd 0.895 0.860 0.575
Pd 0.856 0.014 0.051
Pd 0.436 0.629 0.923
Si 0.174 0.346 0.999
Pd 0.552 0.079 0.253
Tm 0.006 0.416 0.250
Pd 0.105 0.140 0.425
Tm 0.334 0.244 0.750
Pd 0.207 0.513 0.577
Pd 0.673 0.701 0.753
Si 0.500 0.500 0.500
Si 0.153 0.825 0.499
Pd 0.785 0.319 0.925


No. 4
The following is a PBE-GGA calculation of an optimized crystal structure of TmSiPd6, from the Alexandria database.

Space group: R-3m (166)
Total DFT energy (no corrections) (eV/atom): -5.53
Volume (Å³ per atom): 19.4
Uncorrected formation energy (eV per formula unit): -3.19
D(E_F) (states/eV/f.u.): 4.1

a = 5.551 Å, b = 5.551 Å, c = 6.636 Å
α = 65.28°, β = 65.28°, γ = 60.00°
Sites, in units of the cell vectors:
Si 0.000 0.000 0.000
Pd 0.082 0.564 0.271
Pd 0.918 0.436 0.729
Pd 0.082 0.082 0.271
Pd 0.436 0.918 0.729
Pd 0.918 0.918 0.729
Pd 0.564 0.082 0.271
Tm 0.500 0.500 0.500


No. 5
The following is a PBE-GGA calculation of an optimized crystal structure of Tm3Si3Pd2, from the Alexandria database.

Space group: Pnma (62)
Total DFT energy (no corrections) (eV/atom): -5.89
Volume (Å³ per atom): 19.4
Uncorrected formation energy (eV per formula unit): -7.09
D(E_F) (states/eV/f.u.): 3.2

a = 5.618 Å, b = 7.847 Å, c = 14.073 Å
α = 90.00°, β = 90.00°, γ = 90.00°
Sites, in units of the cell vectors:
Tm 0.120 0.188 0.750
Pd 0.876 0.089 0.102
Tm 0.368 0.960 0.111
Tm 0.632 0.040 0.889
Si 0.890 0.825 0.750
Si 0.103 0.201 0.960
Si 0.390 0.675 0.250
Tm 0.380 0.688 0.750
Pd 0.376 0.411 0.602
Si 0.603 0.299 0.040
Si 0.897 0.799 0.040
Tm 0.868 0.540 0.611
Pd 0.124 0.911 0.602
Si 0.397 0.701 0.960
Si 0.610 0.325 0.750
Tm 0.868 0.540 0.889
Pd 0.624 0.589 0.398
Pd 0.876 0.089 0.398
Pd 0.124 0.911 0.898
Si 0.103 0.201 0.540
Si 0.897 0.799 0.460
Si 0.110 0.175 0.250
Tm 0.620 0.312 0.250
Si 0.603 0.299 0.460
Pd 0.624 0.589 0.102
Tm 0.132 0.460 0.389
Tm 0.132 0.460 0.111
Tm 0.632 0.040 0.611
Tm 0.880 0.812 0.250
Pd 0.376 0.411 0.898
Si 0.397 0.701 0.540
Tm 0.368 0.960 0.389


No. 6
The following is a PBE-GGA calculation of an optimized crystal structure of YTmSiPd, from the Alexandria database.

Space group: Amm2 (38)
Total DFT energy (no corrections) (eV/atom): -6.24
Volume (Å³ per atom): 22.2
Distance to the lowest polymorph of the same formula (eV per atom): 0.000
Uncorrected formation energy (eV per formula unit): -3.41
D(E_F) (states/eV/f.u.): 2.1

a = 3.902 Å, b = 4.237 Å, c = 5.705 Å
α = 90.00°, β = 110.00°, γ = 90.00°
Sites, in units of the cell vectors:
Pd 0.426 0.000 0.853
Si 0.578 0.500 0.157
Tm 0.138 0.000 0.276
Y 0.857 0.500 0.714


No. 7
The following is a PBE-GGA calculation of an optimized crystal structure of YTmSiPd, from the Alexandria database.

Space group: F-43m (216)
Total DFT energy (no corrections) (eV/atom): -6.13
Volume (Å³ per atom): 21.4
Distance to the lowest polymorph of the same formula (eV per atom): 0.107
Uncorrected formation energy (eV per formula unit): -2.98
D(E_F) (states/eV/f.u.): 1.5

a = 4.947 Å, b = 4.947 Å, c = 4.947 Å
α = 60.00°, β = 60.00°, γ = 60.00°
Sites, in units of the cell vectors:
Y 0.000 0.000 0.000
Si 0.750 0.750 0.750
Tm 0.500 0.500 0.500
Pd 0.250 0.250 0.250


No. 8
The following is a PBE-GGA calculation of an optimized crystal structure of Tm2ZnSi4Pd3, from the Alexandria database.

Space group: P-4m2 (115)
Total DFT energy (no corrections) (eV/atom): -5.51
Volume (Å³ per atom): 17.0
Uncorrected formation energy (eV per formula unit): -7.57
D(E_F) (states/eV/f.u.): 3.5

a = 3.998 Å, b = 3.998 Å, c = 10.646 Å
α = 90.00°, β = 90.00°, γ = 90.00°
Sites, in units of the cell vectors:
Pd 0.500 0.000 0.867
Tm 0.500 0.000 0.257
Si 0.500 0.000 0.642
Pd 0.000 0.500 0.133
Pd 0.000 0.000 0.500
Tm 0.000 0.500 0.743
Si 0.500 0.500 0.000
Si 0.000 0.000 0.000
Si 0.000 0.500 0.358
Zn 0.500 0.500 0.500


Question: D(E_F) of number 2 (TmSi2Pd3)?
Answer: 3.1 states/eV/f.u.


Question: Which of these has the lowest uncorrected formation energy?
Answer: Tm2Si3Pd9